[1]
Material: VNi3AsO8
Method: DFT, SCAN
State: PBEsol geometry

Crystal system ... monoclinic
E_form (uncorrected) ... -22.4 eV per formula unit

```
26
Lattice="5.635 -2.912 0.000 5.635 2.912 0.000 -0.011 0.000 8.130" Properties=species:S:1:pos:R:3 pbc="T T T"
V 1.394 0.000 0.948
V 9.865 0.000 7.182
Ni -0.005 0.000 4.065
Ni 4.152 1.451 2.033
Ni 7.107 1.451 6.097
Ni 5.635 0.000 0.000
Ni 4.152 -1.451 2.033
Ni 7.107 -1.451 6.097
As 4.203 0.000 5.003
As 7.056 0.000 3.128
O 0.002 0.000 6.056
O 4.320 1.513 0.050
O 4.247 1.433 4.041
O 2.824 0.000 6.040
O 2.860 0.000 1.876
O 6.939 1.513 8.080
O 7.012 1.433 4.089
O 5.606 0.000 6.105
O 5.653 0.000 2.025
O 4.247 -1.433 4.041
O 4.320 -1.513 0.050
O 8.400 0.000 6.254
O 8.435 0.000 2.090
O 7.012 -1.433 4.089
O 6.939 -1.513 8.080
O 11.257 0.000 2.075
```

---

[2]
Material: RbNaPH2
Method: DFT, SCAN
State: PBEsol geometry

Crystal system ... tetragonal

```
5
Lattice="4.598 0.000 0.000 0.000 4.598 0.000 0.000 0.000 8.178" Properties=species:S:1:pos:R:3 pbc="T T T"
Rb 0.000 0.000 0.000
Na 0.000 0.000 4.089
P 2.299 2.299 4.089
H 0.000 2.299 0.000
H 2.299 0.000 0.000
```

---

[3]
Material: LaMnRh
Method: DFT, SCAN
State: PBEsol geometry

Crystal system ... cubic

```
3
Lattice="0.000 3.250 3.250 3.250 0.000 3.250 3.250 3.250 0.000" Properties=species:S:1:pos:R:3 pbc="T T T"
La 0.000 0.000 0.000
Mn 3.250 3.250 3.250
Rh 4.876 4.876 4.876
```

---

[4]
Material: In3Te
Method: DFT, SCAN
State: PBEsol geometry

Crystal system ... tetragonal
E_form (uncorrected) ... 0.0 eV per formula unit

```
8
Lattice="-2.318 2.318 10.240 2.318 -2.318 10.240 2.318 2.318 -10.240" Properties=species:S:1:pos:R:3 pbc="T T T"
In 2.318 0.000 0.000
In 0.000 0.000 2.620
In 2.318 0.000 5.120
In 0.000 2.318 0.000
In 0.000 2.318 5.120
In 0.000 0.000 17.859
Te 0.000 0.000 7.753
Te 0.000 0.000 12.726
```

---

[5]
Material: KRb3
Method: DFT, SCAN
State: PBEsol geometry

Crystal system ... hexagonal

```
8
Lattice="9.782 0.000 0.000 -4.891 8.471 0.000 0.000 0.000 7.921" Properties=species:S:1:pos:R:3 pbc="T T T"
K 0.000 5.648 1.980
K 4.891 2.824 5.941
Rb 0.000 2.861 5.941
Rb -2.413 7.041 5.941
Rb 2.478 1.430 1.980
Rb 2.413 7.041 5.941
Rb 7.304 1.430 1.980
Rb 4.891 5.610 1.980
```

---

[6]
Material: Re8W
Method: DFT, SCAN
State: PBEsol geometry

Crystal system ... tetragonal

```
9
Lattice="-4.131 4.131 1.945 4.131 -4.131 1.945 4.131 4.131 -1.945" Properties=species:S:1:pos:R:3 pbc="T T T"
Re 2.783 0.000 0.000
Re 5.480 0.000 0.000
Re 2.726 2.726 0.000
Re 1.406 -1.406 1.945
Re 0.000 2.783 0.000
Re 0.000 5.480 0.000
Re -1.406 1.406 1.945
Re 1.406 1.406 1.945
W 0.000 0.000 0.000
```

---

[7]
Material: LiAg2Cl
Method: DFT, SCAN
State: PBEsol geometry

Crystal system ... tetragonal
E_form (uncorrected) ... -2.1 eV per formula unit

```
4
Lattice="3.700 0.000 0.000 0.000 3.700 0.000 0.000 0.000 5.657" Properties=species:S:1:pos:R:3 pbc="T T T"
Li 0.000 0.000 0.000
Ag 0.000 1.850 2.828
Ag 1.850 0.000 2.828
Cl 1.850 1.850 0.000
```

---

[8]
Material: ZrPW2
Method: DFT, SCAN
State: PBEsol geometry

Crystal system ... tetragonal

```
4
Lattice="2.924 0.000 0.000 0.000 2.924 0.000 0.000 0.000 7.584" Properties=species:S:1:pos:R:3 pbc="T T T"
Zr 0.000 0.000 0.000
P 0.000 0.000 3.792
W 1.462 1.462 2.329
W 1.462 1.462 5.255
```

---

Short version: DOS(E_F) = 0.000 1.669 0.979 1.377 3.128 6.528 0.328 2.844 states/eV/f.u., in the order given.
Short version: magnetic moment = 11.99 0.88 4.70 0.00 0.00 0.00 0.00 0.69 μB/cell, in the order given.
Short version: total DFT energy (no corrections) = -316.8 -37.8 -96.2 -274.9 -141.1 -637.8 -75.2 -179.7 eV/cell, in the order given.